No. 1
# TiAlTe2I, relaxed, DFT PBE
data_TiAlTe2I
_cell_length_a 5.331
_cell_length_b 5.331
_cell_length_c 5.751
_cell_angle_alpha 90.00
_cell_angle_beta 90.00
_cell_angle_gamma 90.00
_space_group_name_H-M_alt 'P 4/m m m'
_space_group_IT_number 123
_space_group_name_Hall '-P 4 2'
loop_
_atom_site_label
_atom_site_fract_x
_atom_site_fract_y
_atom_site_fract_z
_atom_site_occupancy
Ti1 0.000 0.000 0.000 1
Al1 0.500 0.500 0.500 1
Te1 0.000 0.500 0.000 1
I1 0.000 0.000 0.500 1
# **Energy relative to the elements, uncorrected**: -0.06 eV/atom
# **Total magnetization**: 0.00 μB per cell
# **Total energy**: -19.8 eV per cell

=====

No. 2
# TiAlTeI2, relaxed, DFT PBE
data_TiAlTeI2
_cell_length_a 5.413
_cell_length_b 5.413
_cell_length_c 5.540
_cell_angle_alpha 90.00
_cell_angle_beta 90.00
_cell_angle_gamma 90.00
_space_group_name_H-M_alt 'P 4/m m m'
_space_group_IT_number 123
_space_group_name_Hall '-P 4 2'
loop_
_atom_site_label
_atom_site_fract_x
_atom_site_fract_y
_atom_site_fract_z
_atom_site_occupancy
Ti1 0.000 0.000 0.000 1
Al1 0.500 0.500 0.500 1
Te1 0.500 0.500 0.000 1
I1 0.000 0.500 0.500 1
# **Energy relative to the elements, uncorrected**: 0.45 eV/atom
# **Total magnetization**: 0.09 μB per cell
# **Total energy**: -15.6 eV per cell

=====

No. 3
# TiAlTeI2, relaxed, DFT PBE
data_TiAlTeI2
_cell_length_a 5.686
_cell_length_b 5.686
_cell_length_c 5.367
_cell_angle_alpha 90.00
_cell_angle_beta 90.00
_cell_angle_gamma 90.00
_space_group_name_H-M_alt 'P 4/m m m'
_space_group_IT_number 123
_space_group_name_Hall '-P 4 2'
loop_
_atom_site_label
_atom_site_fract_x
_atom_site_fract_y
_atom_site_fract_z
_atom_site_occupancy
Ti1 0.000 0.000 0.000 1
Al1 0.500 0.500 0.500 1
Te1 0.000 0.000 0.500 1
I1 0.000 0.500 0.000 1
# **Energy relative to the elements, uncorrected**: -0.10 eV/atom
# **Total magnetization**: 1.00 μB per cell
# **Total energy**: -18.4 eV per cell

=====

No. 4
# AlTlTe2I, relaxed, DFT PBE
data_AlTlTe2I
_cell_length_a 5.789
_cell_length_b 5.789
_cell_length_c 6.203
_cell_angle_alpha 90.00
_cell_angle_beta 90.00
_cell_angle_gamma 90.00
_space_group_name_H-M_alt 'P 4/m m m'
_space_group_IT_number 123
_space_group_name_Hall '-P 4 2'
loop_
_atom_site_label
_atom_site_fract_x
_atom_site_fract_y
_atom_site_fract_z
_atom_site_occupancy
Al1 0.000 0.000 0.000 1
Tl1 0.500 0.500 0.500 1
Te1 0.000 0.500 0.500 1
I1 0.500 0.500 0.000 1
# **Energy relative to the elements, uncorrected**: 0.47 eV/atom
# **Total magnetization**: 0.00 μB per cell
# **Total energy**: -11.6 eV per cell

=====

No. 5
# AlTlTeI2, relaxed, DFT PBE
data_AlTlTeI2
_cell_length_a 5.719
_cell_length_b 5.719
_cell_length_c 5.444
_cell_angle_alpha 90.00
_cell_angle_beta 90.00
_cell_angle_gamma 90.00
_space_group_name_H-M_alt 'P 4/m m m'
_space_group_IT_number 123
_space_group_name_Hall '-P 4 2'
loop_
_atom_site_label
_atom_site_fract_x
_atom_site_fract_y
_atom_site_fract_z
_atom_site_occupancy
Al1 0.000 0.000 0.000 1
Tl1 0.500 0.500 0.500 1
Te1 0.000 0.000 0.500 1
I1 0.000 0.500 0.000 1
# **Energy relative to the elements, uncorrected**: -0.28 eV/atom
# **Total magnetization**: 0.00 μB per cell
# **Total energy**: -13.8 eV per cell

=====

No. 6
# AlTlTeI2, relaxed, DFT PBE
data_AlTlTeI2
_cell_length_a 6.160
_cell_length_b 6.160
_cell_length_c 5.796
_cell_angle_alpha 90.00
_cell_angle_beta 90.00
_cell_angle_gamma 90.00
_space_group_name_H-M_alt 'P 4/m m m'
_space_group_IT_number 123
_space_group_name_Hall '-P 4 2'
loop_
_atom_site_label
_atom_site_fract_x
_atom_site_fract_y
_atom_site_fract_z
_atom_site_occupancy
Al1 0.000 0.000 0.000 1
Tl1 0.500 0.500 0.500 1
Te1 0.500 0.500 0.000 1
I1 0.000 0.500 0.500 1
# **Energy relative to the elements, uncorrected**: 0.27 eV/atom
# **Total magnetization**: 0.20 μB per cell
# **Total energy**: -11.0 eV per cell

=====

No. 7
# AlTlTe2I, relaxed, DFT PBE
data_AlTlTe2I
_cell_length_a 5.406
_cell_length_b 5.406
_cell_length_c 5.805
_cell_angle_alpha 90.00
_cell_angle_beta 90.00
_cell_angle_gamma 90.00
_space_group_name_H-M_alt 'P 4/m m m'
_space_group_IT_number 123
_space_group_name_Hall '-P 4 2'
loop_
_atom_site_label
_atom_site_fract_x
_atom_site_fract_y
_atom_site_fract_z
_atom_site_occupancy
Al1 0.000 0.000 0.000 1
Tl1 0.500 0.500 0.500 1
Te1 0.000 0.500 0.000 1
I1 0.000 0.000 0.500 1
# **Energy relative to the elements, uncorrected**: -0.15 eV/atom
# **Total magnetization**: 0.00 μB per cell
# **Total energy**: -14.7 eV per cell

=====

No. 8
# AlVTe2I, relaxed, DFT PBE
data_AlVTe2I
_cell_length_a 5.362
_cell_length_b 5.362
_cell_length_c 5.369
_cell_angle_alpha 90.00
_cell_angle_beta 90.00
_cell_angle_gamma 90.00
_space_group_name_H-M_alt 'P 4/m m m'
_space_group_IT_number 123
_space_group_name_Hall '-P 4 2'
loop_
_atom_site_label
_atom_site_fract_x
_atom_site_fract_y
_atom_site_fract_z
_atom_site_occupancy
Al1 0.000 0.000 0.000 1
V1 0.500 0.500 0.500 1
Te1 0.000 0.500 0.000 1
I1 0.000 0.000 0.500 1
# **Energy relative to the elements, uncorrected**: 0.80 eV/atom
# **Total magnetization**: 0.14 μB per cell
# **Total energy**: -16.7 eV per cell

=====

No. 9
# AlVTe2I, relaxed, DFT PBE
data_AlVTe2I
_cell_length_a 5.207
_cell_length_b 5.207
_cell_length_c 5.880
_cell_angle_alpha 90.00
_cell_angle_beta 90.00
_cell_angle_gamma 90.00
_space_group_name_H-M_alt 'P 4/m m m'
_space_group_IT_number 123
_space_group_name_Hall '-P 4 2'
loop_
_atom_site_label
_atom_site_fract_x
_atom_site_fract_y
_atom_site_fract_z
_atom_site_occupancy
Al1 0.000 0.000 0.000 1
V1 0.500 0.500 0.500 1
Te1 0.000 0.500 0.500 1
I1 0.500 0.500 0.000 1
# **Energy relative to the elements, uncorrected**: 0.19 eV/atom
# **Total magnetization**: 1.52 μB per cell
# **Total energy**: -19.8 eV per cell

=====

No. 10
# ThAlI, relaxed, DFT PBE
data_ThAlI
_cell_length_a 7.484
_cell_length_b 4.321
_cell_length_c 12.767
_cell_angle_alpha 90.00
_cell_angle_beta 101.53
_cell_angle_gamma 90.00
_space_group_name_H-M_alt 'C 1 2/m 1'
_space_group_IT_number 12
_space_group_name_Hall '-C 2y'
loop_
_atom_site_label
_atom_site_fract_x
_atom_site_fract_y
_atom_site_fract_z
_atom_site_occupancy
Th1 0.055 0.000 0.163 1
Al1 0.165 0.500 0.996 1
I1 0.219 0.000 0.665 1
# **Energy relative to the elements, uncorrected**: -0.80 eV/atom
# **Total magnetization**: 0.00 μB per cell
# **Total energy**: -60.4 eV per cell

=====

No. 11
# Ti3AlI, relaxed, DFT PBE
data_Ti3AlI
_cell_length_a 4.906
_cell_length_b 4.906
_cell_length_c 4.906
_cell_angle_alpha 90.00
_cell_angle_beta 90.00
_cell_angle_gamma 90.00
_space_group_name_H-M_alt 'P m -3 m'
_space_group_IT_number 221
_space_group_name_Hall '-P 4 2 3'
loop_
_atom_site_label
_atom_site_fract_x
_atom_site_fract_y
_atom_site_fract_z
_atom_site_occupancy
Ti1 0.000 0.000 0.500 1
Al1 0.000 0.000 0.000 1
I1 0.500 0.500 0.500 1
# **Energy relative to the elements, uncorrected**: 0.80 eV/atom
# **Total magnetization**: 4.35 μB per cell
# **Total energy**: -25.0 eV per cell

=====

No. 12
# Ti3AlI, relaxed, DFT PBE
data_Ti3AlI
_cell_length_a 4.952
_cell_length_b 4.952
_cell_length_c 4.952
_cell_angle_alpha 90.00
_cell_angle_beta 90.00
_cell_angle_gamma 90.00
_space_group_name_H-M_alt 'P m -3 m'
_space_group_IT_number 221
_space_group_name_Hall '-P 4 2 3'
loop_
_atom_site_label
_atom_site_fract_x
_atom_site_fract_y
_atom_site_fract_z
_atom_site_occupancy
Ti1 0.000 0.000 0.500 1
Al1 0.500 0.500 0.500 1
I1 0.000 0.000 0.000 1
# **Energy relative to the elements, uncorrected**: 0.99 eV/atom
# **Total magnetization**: 3.57 μB per cell
# **Total energy**: -24.0 eV per cell

=====

No. 13
# TiAlI2, relaxed, DFT PBE
data_TiAlI2
_cell_length_a 7.465
_cell_length_b 7.465
_cell_length_c 7.465
_cell_angle_alpha 90.00
_cell_angle_beta 90.00
_cell_angle_gamma 90.00
_space_group_name_H-M_alt 'F m -3 m'
_space_group_IT_number 225
_space_group_name_Hall '-F 4 2 3'
loop_
_atom_site_label
_atom_site_fract_x
_atom_site_fract_y
_atom_site_fract_z
_atom_site_occupancy
Ti1 0.000 0.000 0.000 1
Al1 0.000 0.000 0.500 1
I1 0.250 0.250 0.250 1
# **Energy relative to the elements, uncorrected**: 0.26 eV/atom
# **Total magnetization**: 10.52 μB per cell
# **Total energy**: -54.8 eV per cell

=====

No. 14
# TiAlI2, relaxed, DFT PBE
data_TiAlI2
_cell_length_a 10.143
_cell_length_b 10.143
_cell_length_c 5.479
_cell_angle_alpha 90.00
_cell_angle_beta 90.00
_cell_angle_gamma 90.00
_space_group_name_H-M_alt 'I -4 2 d'
_space_group_IT_number 122
_space_group_name_Hall 'I -4 2bw'
loop_
_atom_site_label
_atom_site_fract_x
_atom_site_fract_y
_atom_site_fract_z
_atom_site_occupancy
Ti1 0.000 0.000 0.000 1
Al1 0.000 0.000 0.500 1
I1 0.095 0.750 0.125 1
# **Energy relative to the elements, uncorrected**: 0.00 eV/atom
# **Total magnetization**: 6.01 μB per cell
# **Total energy**: -58.9 eV per cell

=====

No. 15
# TiAlI, relaxed, DFT PBE
data_TiAlI
_cell_length_a 13.361
_cell_length_b 3.446
_cell_length_c 5.968
_cell_angle_alpha 90.00
_cell_angle_beta 90.00
_cell_angle_gamma 90.00
_space_group_name_H-M_alt 'A m m 2'
_space_group_IT_number 38
_space_group_name_Hall 'A 2 -2'
loop_
_atom_site_label
_atom_site_fract_x
_atom_site_fract_y
_atom_site_fract_z
_atom_site_occupancy
Ti1 0.000 0.000 0.000 1
Ti2 0.500 0.000 0.002 1
Al1 0.357 0.000 0.669 1
I1 0.144 0.000 0.333 1
# **Energy relative to the elements, uncorrected**: 0.04 eV/atom
# **Total magnetization**: 0.00 μB per cell
# **Total energy**: -52.3 eV per cell

=====

No. 16
# Ti2AlI, relaxed, DFT PBE
data_Ti2AlI
_cell_length_a 4.127
_cell_length_b 4.127
_cell_length_c 19.495
_cell_angle_alpha 90.00
_cell_angle_beta 90.00
_cell_angle_gamma 90.00
_space_group_name_H-M_alt 'I -4 2 d'
_space_group_IT_number 122
_space_group_name_Hall 'I -4 2bw'
loop_
_atom_site_label
_atom_site_fract_x
_atom_site_fract_y
_atom_site_fract_z
_atom_site_occupancy
Ti1 0.239 0.250 0.125 1
Al1 0.000 0.000 0.000 1
I1 0.000 0.000 0.500 1
# **Energy relative to the elements, uncorrected**: 0.43 eV/atom
# **Total magnetization**: 0.00 μB per cell
# **Total energy**: -77.4 eV per cell

=====

No. 17
# Ti2AlI, relaxed, DFT PBE
data_Ti2AlI
_cell_length_a 6.729
_cell_length_b 6.729
_cell_length_c 6.729
_cell_angle_alpha 90.00
_cell_angle_beta 90.00
_cell_angle_gamma 90.00
_space_group_name_H-M_alt 'F m -3 m'
_space_group_IT_number 225
_space_group_name_Hall '-F 4 2 3'
loop_
_atom_site_label
_atom_site_fract_x
_atom_site_fract_y
_atom_site_fract_z
_atom_site_occupancy
Ti1 0.250 0.250 0.250 1
Al1 0.000 0.000 0.000 1
I1 0.000 0.000 0.500 1
# **Energy relative to the elements, uncorrected**: 0.28 eV/atom
# **Total magnetization**: 6.27 μB per cell
# **Total energy**: -79.9 eV per cell

=====

No. 18
# Zr2TiAlI, relaxed, DFT PBE
data_Zr2TiAlI
_cell_length_a 5.153
_cell_length_b 5.153
_cell_length_c 4.817
_cell_angle_alpha 90.00
_cell_angle_beta 90.00
_cell_angle_gamma 90.00
_space_group_name_H-M_alt 'P 4/m m m'
_space_group_IT_number 123
_space_group_name_Hall '-P 4 2'
loop_
_atom_site_label
_atom_site_fract_x
_atom_site_fract_y
_atom_site_fract_z
_atom_site_occupancy
Zr1 0.000 0.500 0.000 1
Ti1 0.000 0.000 0.500 1
Al1 0.000 0.000 0.000 1
I1 0.500 0.500 0.500 1
# **Energy relative to the elements, uncorrected**: 0.70 eV/atom
# **Total magnetization**: 1.74 μB per cell
# **Total energy**: -26.8 eV per cell

=====

No. 19
# Al2Tl2I7, relaxed, DFT PBE
data_Al2Tl2I7
_cell_length_a 11.523
_cell_length_b 13.439
_cell_length_c 14.696
_cell_angle_alpha 90.00
_cell_angle_beta 101.18
_cell_angle_gamma 90.00
_space_group_name_H-M_alt 'C 1 2/c 1'
_space_group_IT_number 15
_space_group_name_Hall '-C 2yc'
loop_
_atom_site_label
_atom_site_fract_x
_atom_site_fract_y
_atom_site_fract_z
_atom_site_occupancy
Al1 0.226 0.002 0.212 1
Tl1 0.000 0.291 0.000 1
I1 0.000 0.002 0.250 1
I2 0.117 0.500 0.132 1
I3 0.239 0.338 0.880 1
I4 0.242 0.343 0.383 1
# **Energy relative to the elements, uncorrected**: -0.55 eV/atom
# **Total magnetization**: 3.02 μB per cell
# **Total energy**: -116.4 eV per cell

=====

No. 20
# Al2Tl2I, relaxed, DFT PBE
data_Al2Tl2I
_cell_length_a 4.719
_cell_length_b 4.719
_cell_length_c 12.969
_cell_angle_alpha 90.00
_cell_angle_beta 90.00
_cell_angle_gamma 90.00
_space_group_name_H-M_alt 'I 4/m m m'
_space_group_IT_number 139
_space_group_name_Hall '-I 4 2'
loop_
_atom_site_label
_atom_site_fract_x
_atom_site_fract_y
_atom_site_fract_z
_atom_site_occupancy
Al1 0.000 0.000 0.101 1
Tl1 0.000 0.500 0.250 1
I1 0.000 0.000 0.500 1
# **Energy relative to the elements, uncorrected**: 0.23 eV/atom
# **Total magnetization**: 0.00 μB per cell
# **Total energy**: -25.2 eV per cell